Record 1
The following is a PBE-GGA calculation of crystalline Ba2Zn3 at its relaxed geometry, from the Alexandria database.

Lattice parameters (Å, degrees): 15.0478 15.0478 4.6997 90.00 90.00 162.37
Last column: nearest neighbours and their distance in Å.
Sites, in units of the cell vectors:
1 Ba 0.0675 0.9325 0.7500  12 Zn 3.53-3.61
2 Ba 0.2001 0.7999 0.2500  6 Zn 3.45-3.49
3 Ba 0.7999 0.2001 0.7500  6 Zn 3.45-3.49
4 Ba 0.9325 0.0675 0.2500  12 Zn 3.53-3.61
5 Zn 0.3391 0.6609 0.2500  2 Zn 2.74
6 Zn 0.3862 0.6138 0.7500  3 Zn 2.72-2.74
7 Zn 0.4775 0.5225 0.7500  3 Zn 2.70-2.72
8 Zn 0.5225 0.4775 0.2500  3 Zn 2.70-2.72
9 Zn 0.6138 0.3862 0.2500  3 Zn 2.72-2.74
10 Zn 0.6609 0.3391 0.7500  2 Zn 2.74

## Properties
ΔE_f in kcal/mol of atoms: -4.086
Energy in eV/atom: -1.71
Space-group type: Cmcm (63)

Record 2
The following is a PBE-GGA calculation of crystalline Ba5Zn at its relaxed geometry, from the Alexandria database.

Lattice parameters (Å, degrees): 8.5445 8.5445 6.3190 90.00 90.00 137.80
Last column: nearest neighbours and their distance in Å.
Sites, in units of the cell vectors:
1 Ba 0.0000 0.0000 0.0000  8 Ba 3.90-3.92
2 Ba 0.1436 0.8564 0.5000  2 Zn 3.83, 2 Ba 3.90
3 Ba 0.3472 0.6528 0.0000  4 Ba 3.92-4.37, 2 Zn 3.99
4 Ba 0.6528 0.3472 0.0000  4 Ba 3.92-4.37, 2 Zn 3.99
5 Ba 0.8564 0.1436 0.5000  2 Zn 3.83, 2 Ba 3.90
6 Zn 0.5000 0.5000 0.5000  8 Ba 3.83-3.99

## Properties
ΔE_f in kcal/mol of atoms: 1.828
Energy in eV/atom: -1.74
Space-group type: Cmmm (65)

Record 3
The following is a PBE-GGA calculation of crystalline Ba4Zn3 at its relaxed geometry, from the Alexandria database.

Lattice parameters (Å, degrees): 10.0716 10.0716 10.0716 33.63 33.63 33.63
Last column: nearest neighbours and their distance in Å.
Sites, in units of the cell vectors:
1 Ba 0.1228 0.1228 0.1228  5 Zn 3.50-3.64
2 Ba 0.3730 0.3730 0.3730  7 Zn 3.49-3.58
3 Ba 0.6270 0.6270 0.6270  7 Zn 3.49-3.58
4 Ba 0.8772 0.8772 0.8772  5 Zn 3.50-3.64
5 Zn 0.0000 0.0000 0.0000  8 Ba 3.50-3.55
6 Zn 0.2505 0.2505 0.2505  8 Ba 3.49-3.64
7 Zn 0.7495 0.7495 0.7495  8 Ba 3.49-3.64

## Properties
ΔE_f in kcal/mol of atoms: -2.434
Energy in eV/atom: -1.75
Space-group type: R-3m (166)

Record 4
The following is a PBE-GGA calculation of crystalline BaZn3 at its relaxed geometry, from the Alexandria database.

Lattice parameters (Å, degrees): 6.9646 8.9542 6.9779 90.00 90.00 90.00
Last column: nearest neighbours and their distance in Å.
Sites, in units of the cell vectors:
1 Ba 0.9999 0.2500 0.9997  12 Zn 3.48-3.51
2 Ba 0.0001 0.7500 0.0003  12 Zn 3.48-3.51
3 Ba 0.4999 0.2500 0.5003  12 Zn 3.48-3.51
4 Ba 0.5001 0.7500 0.4997  12 Zn 3.48-3.51
5 Zn 0.9997 0.2500 0.4995  4 Zn 2.61
6 Zn 0.0003 0.7500 0.5005  4 Zn 2.61
7 Zn 0.1362 0.0001 0.3635  3 Zn 2.61-2.69
8 Zn 0.1362 0.4999 0.3635  3 Zn 2.61-2.69
9 Zn 0.3638 0.9999 0.8635  3 Zn 2.61-2.69
10 Zn 0.3638 0.5001 0.8635  3 Zn 2.61-2.69
11 Zn 0.4997 0.2500 0.0005  4 Zn 2.61
12 Zn 0.5003 0.7500 0.9995  4 Zn 2.61
13 Zn 0.6362 0.0001 0.1365  3 Zn 2.61-2.69
14 Zn 0.6362 0.4999 0.1365  3 Zn 2.61-2.69
15 Zn 0.8638 0.9999 0.6365  3 Zn 2.61-2.69
16 Zn 0.8638 0.5001 0.6365  3 Zn 2.61-2.69

## Properties
ΔE_f in kcal/mol of atoms: -1.131
Energy in eV/atom: -1.49
Space-group type: Pnma (62)

Record 5
The following is a PBE-GGA calculation of crystalline Ba5Zn at its relaxed geometry, from the Alexandria database.

Lattice parameters (Å, degrees): 6.6525 10.2406 10.2406 26.74 90.00 90.00
Last column: nearest neighbours and their distance in Å.
Sites, in units of the cell vectors:
1 Ba 0.0000 0.0000 0.0000  2 Zn 3.60
2 Ba 0.0000 0.2721 0.2721  2 Zn 3.60
3 Ba 0.5000 0.1365 0.1365  4 Zn 4.08, 8 Ba 4.14-4.30
4 Ba 0.5000 0.4659 0.4659  8 Ba 3.94-4.14
5 Ba 0.5000 0.8077 0.8077  8 Ba 3.94-4.15
6 Zn 0.0000 0.6360 0.6360  4 Ba 3.60

## Properties
ΔE_f in kcal/mol of atoms: 1.144
Energy in eV/atom: -1.77
Space-group type: Amm2 (38)

Record 6
The following is a PBE-GGA calculation of crystalline Ba5Zn at its relaxed geometry, from the Alexandria database.

Lattice parameters (Å, degrees): 7.8074 7.8074 7.4388 90.00 90.00 120.00
Last column: nearest neighbours and their distance in Å.
Sites, in units of the cell vectors:
1 Ba 0.0000 0.5000 0.0000  8 Ba 3.90-4.35
2 Ba 0.3333 0.6667 0.5000  9 Ba 4.35-4.51, 3 Zn 4.51
3 Ba 0.5000 0.0000 0.0000  8 Ba 3.90-4.35
4 Ba 0.5000 0.5000 0.0000  8 Ba 3.90-4.35
5 Ba 0.6667 0.3333 0.5000  9 Ba 4.35-4.51, 3 Zn 4.51
6 Zn 0.0000 0.0000 0.5000  6 Ba 4.51

## Properties
ΔE_f in kcal/mol of atoms: 10.621
Energy in eV/atom: -1.35
Space-group type: P6/mmm (191)

Record 7
The following is a PBE-GGA calculation of crystalline BaZn3 at its relaxed geometry, from the Alexandria database.

Lattice parameters (Å, degrees): 3.6849 3.6849 7.2260 90.00 90.00 90.00
Last column: nearest neighbours and their distance in Å.
Sites, in units of the cell vectors:
1 Ba 0.0000 0.0000 0.0000  10 Zn 3.49-3.61, 4 Ba 3.68
2 Zn 0.0000 0.0000 0.5000  8 Zn 2.91
3 Zn 0.5000 0.5000 0.3210  1 Zn 2.59
4 Zn 0.5000 0.5000 0.6790  1 Zn 2.59

## Properties
ΔE_f in kcal/mol of atoms: 0.277
Energy in eV/atom: -1.42
Space-group type: P4/mmm (123)

Record 8
The following is a PBE-GGA calculation of crystalline Ba3Zn2 at its relaxed geometry, from the Alexandria database.

Lattice parameters (Å, degrees): 8.7879 8.7879 8.7879 55.83 55.83 55.83
Last column: nearest neighbours and their distance in Å.
Sites, in units of the cell vectors:
1 Ba 0.1468 0.7500 0.3532  4 Zn 3.50-3.51
2 Ba 0.2500 0.6468 0.8532  4 Zn 3.50-3.51
3 Ba 0.3532 0.1468 0.7500  4 Zn 3.50-3.51
4 Ba 0.6468 0.8532 0.2500  4 Zn 3.50-3.51
5 Ba 0.7500 0.3532 0.1468  4 Zn 3.50-3.51
6 Ba 0.8532 0.2500 0.6468  4 Zn 3.50-3.51
7 Zn 0.1931 0.1931 0.1931  1 Zn 2.52
8 Zn 0.3069 0.3069 0.3069  1 Zn 2.52
9 Zn 0.6931 0.6931 0.6931  1 Zn 2.52
10 Zn 0.8069 0.8069 0.8069  1 Zn 2.52

## Properties
ΔE_f in kcal/mol of atoms: -1.935
Energy in eV/atom: -1.75
Space-group type: R-3c (167)

- Among the records above, which one has the lowest ΔE_f?
  Ba2Zn3

- Which formula does entry 3 have?
  Ba4Zn3

- What is the formula in the seventh record?
  BaZn3

Copy entry 3 word for word.
The following is a PBE-GGA calculation of crystalline Ba4Zn3 at its relaxed geometry, from the Alexandria database.

Lattice parameters (Å, degrees): 10.0716 10.0716 10.0716 33.63 33.63 33.63
Last column: nearest neighbours and their distance in Å.
Sites, in units of the cell vectors:
1 Ba 0.1228 0.1228 0.1228  5 Zn 3.50-3.64
2 Ba 0.3730 0.3730 0.3730  7 Zn 3.49-3.58
3 Ba 0.6270 0.6270 0.6270  7 Zn 3.49-3.58
4 Ba 0.8772 0.8772 0.8772  5 Zn 3.50-3.64
5 Zn 0.0000 0.0000 0.0000  8 Ba 3.50-3.55
6 Zn 0.2505 0.2505 0.2505  8 Ba 3.49-3.64
7 Zn 0.7495 0.7495 0.7495  8 Ba 3.49-3.64

## Properties
ΔE_f in kcal/mol of atoms: -2.434
Energy in eV/atom: -1.75
Space-group type: R-3m (166)